A relaxed structure of Sc2TeAs, computed with PBE. Values from VASP.

```
&SYSTEM
  ibrav = 0, nat = 4, ntyp = 3
/
ATOMIC_SPECIES
Te 127.60 Te.upf
Sc 44.96 Sc.upf
As 74.92 As.upf
ATOMIC_POSITIONS crystal
Te 0.499 0.499 0.504
Sc 0.071 0.071 0.787
Sc 0.261 0.261 0.216
As 0.669 0.669 0.994
CELL_PARAMETERS angstrom
-0.904 -3.674 1.095
1.652 -1.558 3.218
-4.932 0.672 5.267
```

Values from the calculation:
SG: No. 160
Energy in Ha/atom: -0.235

A relaxed structure of ZrSeI3, computed with PBE. Values from VASP.

```
&SYSTEM
  ibrav = 0, nat = 20, ntyp = 3
/
ATOMIC_SPECIES
I 126.90 I.upf
Se 78.96 Se.upf
Zr 91.22 Zr.upf
ATOMIC_POSITIONS crystal
I 0.238 0.811 0.464
I 0.788 0.711 0.585
Se 0.046 0.643 0.799
I 0.193 0.085 0.699
Zr 0.149 0.872 0.856
I 0.278 0.915 0.199
I 0.502 0.711 0.915
I 0.048 0.189 0.964
Zr 0.979 0.872 0.644
I 0.807 0.915 0.301
Se 0.688 0.357 0.299
Zr 0.021 0.128 0.356
I 0.212 0.289 0.415
Se 0.312 0.643 0.701
I 0.762 0.189 0.536
I 0.722 0.085 0.801
Zr 0.851 0.128 0.144
I 0.498 0.289 0.085
I 0.952 0.811 0.036
Se 0.954 0.357 0.201
CELL_PARAMETERS angstrom
-7.640 2.012 0.068
-5.495 -5.179 -4.511
-4.009 -7.418 11.568
```

Values from the calculation:
SG: No. 2
Energy in Ha/atom: -0.154

A relaxed structure of UV2Pt, computed with PBE. Values from VASP.

```
&SYSTEM
  ibrav = 0, nat = 4, ntyp = 3
/
ATOMIC_SPECIES
V 50.94 V.upf
Pt 195.08 Pt.upf
U 238.03 U.upf
ATOMIC_POSITIONS crystal
V 0.000 0.000 0.500
V 0.000 0.500 0.000
Pt 0.500 0.500 0.500
U 0.500 0.000 0.000
CELL_PARAMETERS angstrom
2.913 0.000 0.000
0.000 4.652 0.000
0.000 0.000 4.652
```

Values from the calculation:
SG: No. 123
Energy in Ha/atom: -0.332
Energy of formation from the pure elements in kJ/mol of formula units: -52